DFT (GGA-PBEsol) results for a relaxed NbBiPW2 crystal.

Results
- DFT total energy (eV per atom) = -8.447
- E_form (eV per atom) = 1.256

```
data_NbBiPW2
_chemical_formula_sum 'Nb1 Bi1 P1 W2'
_symmetry_space_group_name_H-M 'P 4/m m m'
_symmetry_Int_Tables_number 123
_symmetry_space_group_name_Hall '-P 4 2'
_cell_length_a 4.413
_cell_length_b 4.413
_cell_length_c 5.195
_cell_angle_alpha 90.00
_cell_angle_beta 90.00
_cell_angle_gamma 90.00
loop_
_atom_site_label
_atom_site_type_symbol
_atom_site_fract_x
_atom_site_fract_y
_atom_site_fract_z
Nb1 Nb 0.000 0.000 0.000
Bi1 Bi 0.500 0.500 0.000
P1 P 0.500 0.500 0.500
W1 W 0.000 0.500 0.500
```

---

DFT (GGA-PBEsol) results for a relaxed AsCl crystal.

Results
- DFT total energy (eV per atom) = -3.300
- energy relative to the elements, uncorrected (eV per atom) = 0.26

```
data_AsCl
_chemical_formula_sum 'As3 Cl3'
_symmetry_space_group_name_H-M 'R -3 m'
_symmetry_Int_Tables_number 166
_symmetry_space_group_name_Hall '-R 3 2"'
_cell_length_a 3.0886
_cell_length_b 3.0886
_cell_length_c 13.4407
_cell_angle_alpha 90.00
_cell_angle_beta 90.00
_cell_angle_gamma 120.00
loop_
_atom_site_label
_atom_site_type_symbol
_atom_site_fract_x
_atom_site_fract_y
_atom_site_fract_z
As1 As 0.0000 0.0000 0.0000
Cl1 Cl 0.0000 0.0000 0.5000
```

---

DFT (GGA-PBEsol) results for a relaxed ReNiHg2 crystal.

Results
- DFT total energy (eV per atom) = -4.822
- E_form (eV per atom) = 0.334
- polymorph energy (0 for the lowest one) (kJ/mol of atoms) = 0.0

```
data_ReNiHg2
_chemical_formula_sum 'Re1 Ni1 Hg2'
_symmetry_space_group_name_H-M 'P 1 m 1'
_symmetry_Int_Tables_number 6
_cell_length_a 2.849
_cell_length_b 2.799
_cell_length_c 8.447
_cell_angle_alpha 90.00
_cell_angle_beta 99.63
_cell_angle_gamma 90.00
loop_
_symmetry_equiv_pos_as_xyz
'x,y,z'
'x,-y,z'
loop_
_atom_site_label
_atom_site_type_symbol
_atom_site_fract_x
_atom_site_fract_y
_atom_site_fract_z
Re1 Re 0.000 0.000 0.000
Ni1 Ni 0.589 0.500 0.180
Hg1 Hg 0.205 0.000 0.414
Hg2 Hg 0.367 0.500 0.736
```

---

DFT (GGA-PBEsol) results for a relaxed TlIr2Au crystal.

Results
- DFT total energy (eV per atom) = -5.972
- E_form (eV per atom) = 0.579
- polymorph energy (0 for the lowest one) (kJ/mol of atoms) = 16.8

```
data_TlIr2Au
_chemical_formula_sum 'Tl2 Ir4 Au2'
_symmetry_space_group_name_H-M 'I -4 m 2'
_symmetry_Int_Tables_number 119
_symmetry_space_group_name_Hall 'I -4 -2'
_cell_length_a 4.108
_cell_length_b 4.108
_cell_length_c 7.811
_cell_angle_alpha 90.00
_cell_angle_beta 90.00
_cell_angle_gamma 90.00
loop_
_atom_site_label
_atom_site_type_symbol
_atom_site_fract_x
_atom_site_fract_y
_atom_site_fract_z
Tl1 Tl 0.000 0.000 0.000
Ir1 Ir 0.000 0.000 0.500
Ir2 Ir 0.000 0.500 0.750
Au1 Au 0.000 0.500 0.250
```